1.
Compound: Ho4SiPSe2
Source: Alexandria via LeMat-Bulk
Functional: GGA-PBE
Structure: optimized geometry

The structure in POSCAR format:
```
Ho4SiPSe2
1.0
-1.122 3.201 2.217
-4.937 1.600 -4.809
-5.993 -3.254 1.664
Si P Ho Se
1 1 4 2
Cartesian
-5.465 -0.827 -1.573 Si
-3.030 2.400 -1.296 P
-6.339 -0.396 1.066 Ho
-8.141 -1.292 -2.256 Ho
-5.713 1.944 -1.994 Ho
-3.911 2.839 1.327 Ho
-5.993 -3.253 1.664 Se
-3.557 -0.026 1.940 Se
```

uncorrected formation energy	-1550	meV/atom



2.
Compound: HfCuNi2
Source: Alexandria via LeMat-Bulk
Functional: GGA-PBE
Structure: optimized geometry

The structure in POSCAR format:
```
HfCuNi2
1.0
4.326 0.000 0.000
0.000 4.646 0.000
0.000 0.000 5.341
Ni Cu Hf
4 2 2
Cartesian
0.000 3.877 3.990 Ni
2.163 0.769 1.319 Ni
0.000 3.877 1.351 Ni
2.163 0.769 4.022 Ni
2.163 3.285 2.671 Cu
0.000 1.361 0.000 Cu
0.000 1.579 2.671 Hf
2.163 3.066 0.000 Hf
```

energy relative to the elements	-379	meV per atom



3.
Compound: RbNaSnI4
Source: Alexandria via LeMat-Bulk
Functional: GGA-PBE
Structure: optimized geometry

The structure in POSCAR format:
```
RbNaSnI4
1.0
-2.456 1.747 8.157
-7.522 -4.544 -1.292
4.869 -8.298 0.839
I Na Rb Sn
8 2 2 2
Cartesian
-6.049 -4.069 3.729 I
-2.641 -6.470 7.903 I
-6.155 -6.852 -0.832 I
-3.916 -7.678 4.002 I
-2.469 -4.625 -0.199 I
0.939 -7.026 3.976 I
-1.194 -3.417 3.702 I
1.045 -4.243 8.536 I
-4.638 -5.824 1.685 Na
-0.472 -5.271 6.019 Na
-2.157 -1.083 1.101 Rb
-2.953 -10.012 6.604 Rb
-5.294 -5.982 6.060 Sn
0.184 -5.113 1.644 Sn
```

uncorrected formation energy	-937	meV/atom



Sequential Fermi-level density of states output: 1.27; 4.06; 0.00 states/eV per cell
Sequential energy output: -48.5; -54.3; -38.1 eV for the cell shown